A plane-wave DFT calculation with GGA-PBE was carried out for HgPAu2 after structural relaxation.

Output
VASP energy (eV/f.u.): -10.477
ρ (g/cm³): 13.665
Magnetic moment (μB/cell): 0.000

Lattice parameters (Å, degrees): 4.755 4.755 4.755 60.00 60.00 60.00
Positions (direct):
1 Hg 0.000 0.000 0.000
2 P 0.250 0.250 0.250
3 Au 0.500 0.500 0.500
4 Au 0.750 0.750 0.750